[1]
This record from Alexandria describes crystalline BaTlRh2 at its relaxed geometry. The functional is PBE.

Its uncorrected energy is -4.633 eV per atom. The energy of formation is 0.5 eV/f.u.

It has space group Pmm2 (No. 25), with a = 3.246 Å, b = 3.819 Å, c = 7.625 Å, α = 90.00°, β = 90.00° and γ = 90.00°. Symmetry generates all atoms from Ba at (0.000, 0.000, 0.000), Tl at (0.500, 0.500, 0.647), Rh at (0.000, 0.000, 0.410) and Rh at (0.500, 0.500, 0.286).

[2]
This record from Alexandria describes crystalline Tl2SbBr at its relaxed geometry. The functional is PBE.

Its uncorrected energy is -2.902 eV per atom. Its formation energy from raw total energies is -0.2697 eV per atom.

It has space group P2/m (No. 10), with a = 4.627 Å, b = 4.463 Å, c = 6.483 Å, α = 90.00°, β = 90.08° and γ = 90.00°. Symmetry generates all atoms from Tl at (0.000, 0.000, 0.000), Tl at (0.500, 0.500, 0.500), Sb at (0.000, 0.000, 0.500) and Br at (0.500, 0.500, 0.000).

[3]
This record from Alexandria describes crystalline Na2Cr2SnSe6 at its relaxed geometry. The functional is PBE.

Its uncorrected energy is -4.956 eV per atom. Its formation energy from raw total energies is -0.7016 eV per atom.

It has space group C2/m (No. 12), with a = 6.527 Å, b = 11.469 Å, c = 7.401 Å, α = 90.00°, β = 106.52° and γ = 90.00°. Symmetry generates all atoms from Na at (0.000, 0.162, 0.000), Cr at (0.000, 0.332, 0.500), Sn at (0.000, 0.000, 0.500), Se at (0.215, 0.500, 0.704) and Se at (0.240, 0.177, 0.702).

[4]
This record from Alexandria describes crystalline PbClF at its relaxed geometry. The functional is PBE.

Its uncorrected energy is -4.188 eV per atom. Its formation energy from raw total energies is -1.7128 eV per atom.

It has space group Pmmn (No. 59, origin choice 2), with a = 4.385 Å, b = 4.940 Å, c = 6.582 Å, α = 90.00°, β = 90.00° and γ = 90.00°. Symmetry generates all atoms from Pb at (0.250, 0.250, 0.213), Cl at (0.250, 0.750, 0.449) and F at (0.250, 0.750, 0.966).

[5]
This record from Alexandria describes crystalline GeRuC2N at its relaxed geometry. The functional is PBE.

Its uncorrected energy is -5.688 eV per atom. Its formation energy from raw total energies is 2.4456 eV per atom.

It has space group P4/mmm (No. 123), with a = 3.865 Å, b = 3.865 Å, c = 3.801 Å, α = 90.00°, β = 90.00° and γ = 90.00°. Symmetry generates all atoms from Ge at (0.000, 0.000, 0.000), Ru at (0.500, 0.500, 0.500), C at (0.000, 0.500, 0.000) and N at (0.000, 0.000, 0.500).

[6]
This record from Alexandria describes crystalline MnSe2Br at its relaxed geometry. The functional is PBE.

Its uncorrected energy is -4.350 eV per atom. Its formation energy from raw total energies is 0.1025 eV per atom.

It has space group Pmmm (No. 47), with a = 3.721 Å, b = 3.925 Å, c = 6.434 Å, α = 90.00°, β = 90.00° and γ = 90.00°. Symmetry generates all atoms from Mn at (0.000, 0.000, 0.000), Se at (0.000, 0.500, 0.500), Se at (0.500, 0.000, 0.500) and Br at (0.500, 0.500, 0.000).

[7]
This record from Alexandria describes crystalline LaPr9Sm2 at its relaxed geometry. The functional is PBE.

Its uncorrected energy is -4.769 eV per atom. The energy of formation is 0.1 eV/f.u.

It has space group P4/mmm (No. 123), with a = 5.235 Å, b = 5.235 Å, c = 15.725 Å, α = 90.00°, β = 90.00° and γ = 90.00°. Symmetry generates all atoms from La at (0.000, 0.000, 0.000), Pr at (0.000, 0.500, 0.169), Pr at (0.000, 0.500, 0.500), Pr at (0.500, 0.500, 0.000), Pr at (0.500, 0.500, 0.335) and Sm at (0.000, 0.000, 0.334).

[8]
This record from Alexandria describes crystalline NaEuMgAu at its relaxed geometry. The functional is PBE.

Its uncorrected energy is -4.410 eV per atom. The energy of formation is -1.2 eV/f.u.

It has space group F-43m (No. 216), with a = 7.368 Å, b = 7.368 Å, c = 7.368 Å, α = 90.00°, β = 90.00° and γ = 90.00°. Symmetry generates all atoms from Na at (0.000, 0.000, 0.000), Eu at (0.250, 0.250, 0.250), Mg at (0.250, 0.250, 0.750) and Au at (0.000, 0.000, 0.500).

[9]
This record from Alexandria describes crystalline KLi5 at its relaxed geometry. The functional is PBE.

Its uncorrected energy is -1.674 eV per atom. The energy of formation is 0.6 eV/f.u.

It has space group Amm2 (No. 38), with a = 5.006 Å, b = 3.345 Å, c = 20.129 Å, α = 90.00°, β = 90.00° and γ = 90.00°. Symmetry generates all atoms from K at (0.000, 0.000, 0.000), Li at (0.000, 0.000, 0.322), Li at (0.000, 0.000, 0.696), Li at (0.500, 0.000, 0.239), Li at (0.500, 0.000, 0.617) and Li at (0.500, 0.000, 0.862).

[10]
This record from Alexandria describes crystalline ErInB2Rh5 at its relaxed geometry. The functional is PBE.

Its uncorrected energy is -6.901 eV per atom. The energy of formation is -4.7 eV/f.u.

It has space group P4/mmm (No. 123), with a = 4.175 Å, b = 4.175 Å, c = 7.768 Å, α = 90.00°, β = 90.00° and γ = 90.00°. Symmetry generates all atoms from Er at (0.000, 0.000, 0.000), In at (0.000, 0.000, 0.500), B at (0.500, 0.500, 0.279), Rh at (0.000, 0.500, 0.267) and Rh at (0.500, 0.500, 0.000).

[11]
This record from Alexandria describes crystalline Np3Cu5O12 at its relaxed geometry. The functional is PBE.

Its uncorrected energy is -7.614 eV per atom. Its formation energy from raw total energies is -1.6738 eV per atom.

It has space group Ia-3d (No. 230), with a = 12.286 Å, b = 12.286 Å, c = 12.286 Å, α = 90.00°, β = 90.00° and γ = 90.00°. Symmetry generates all atoms from Np at (0.000, 0.250, 0.125), Cu at (0.000, 0.000, 0.000), Cu at (0.000, 0.250, 0.375) and O at (0.021, 0.068, 0.652).

[12]
This record from Alexandria describes crystalline ZnSiTe2 at its relaxed geometry. The functional is PBE.

Its uncorrected energy is -2.980 eV per atom. Its formation energy from raw total energies is 0.2652 eV per atom.

It has space group P2/m (No. 10), with a = 4.372 Å, b = 3.879 Å, c = 7.097 Å, α = 90.00°, β = 98.43° and γ = 90.00°. Symmetry generates all atoms from Zn at (0.000, 0.000, 0.000), Si at (0.500, 0.000, 0.500) and Te at (0.293, 0.500, 0.245).

[13]
This record from Alexandria describes crystalline CeGdZnSn at its relaxed geometry. The functional is PBE.

Its uncorrected energy is -6.774 eV per atom. The energy of formation is -1.8 eV/f.u.

It has space group F-43m (No. 216), with a = 7.468 Å, b = 7.468 Å, c = 7.468 Å, α = 90.00°, β = 90.00° and γ = 90.00°. Symmetry generates all atoms from Ce at (0.000, 0.000, 0.000), Gd at (0.000, 0.000, 0.500), Zn at (0.250, 0.250, 0.750) and Sn at (0.250, 0.250, 0.250).

[14]
This record from Alexandria describes crystalline LiLaSi2 at its relaxed geometry. The functional is PBE.

Its uncorrected energy is -4.907 eV per atom. Its formation energy from raw total energies is -0.4849 eV per atom.

It has space group C2/m (No. 12), with a = 8.226 Å, b = 3.876 Å, c = 5.586 Å, α = 90.00°, β = 110.63° and γ = 90.00°. Symmetry generates all atoms from Li at (0.000, 0.000, 0.000), La at (0.000, 0.500, 0.500) and Si at (0.235, 0.500, 0.126).

[15]
This record from Alexandria describes crystalline ZnCrPb2 at its relaxed geometry. The functional is PBE.

Its uncorrected energy is -4.177 eV per atom. The energy of formation is 1.6 eV/f.u.

It has space group R3m (No. 160, hexagonal axes), with a = 3.3078 Å, b = 3.3078 Å, c = 30.6594 Å, α = 90.00°, β = 90.00° and γ = 120.00°. Symmetry generates all atoms from Zn at (0.0000, 0.0000, 0.0000), Cr at (0.0000, 0.0000, 0.7277), Pb at (0.0000, 0.0000, 0.2505) and Pb at (0.0000, 0.0000, 0.4740).

[16]
This record from Alexandria describes crystalline NdNbNi2 at its relaxed geometry. The functional is PBE.

Its uncorrected energy is -6.772 eV per atom. The energy of formation is -0.7 eV/f.u.

It has space group R-3m (No. 166, hexagonal axes), with a = 4.2686 Å, b = 4.2686 Å, c = 14.9441 Å, α = 90.00°, β = 90.00° and γ = 120.00°. Symmetry generates all atoms from Nd at (0.0000, 0.0000, 0.0000), Nb at (0.0000, 0.0000, 0.5000) and Ni at (0.0000, 0.0000, 0.1983).

[17]
This record from Alexandria describes crystalline ZrSc2Al at its relaxed geometry. The functional is PBE.

Its uncorrected energy is -6.343 eV per atom. The energy of formation is -0.4 eV/f.u.

It has space group P4/mmm (No. 123), with a = 5.031 Å, b = 5.031 Å, c = 3.425 Å, α = 90.00°, β = 90.00° and γ = 90.00°. Symmetry generates all atoms from Zr at (0.000, 0.000, 0.000), Sc at (0.000, 0.500, 0.500) and Al at (0.500, 0.500, 0.000).

[18]
This record from Alexandria describes crystalline La5PrAg3 at its relaxed geometry. The functional is PBE.

Its uncorrected energy is -4.314 eV per atom. The energy of formation is -0.9 eV/f.u.

It has space group P6_3/mcm (No. 193), with a = 9.2981 Å, b = 9.2981 Å, c = 7.2918 Å, α = 90.00°, β = 90.00° and γ = 120.00°. Symmetry generates all atoms from La at (0.0000, 0.3328, 0.2500), La at (0.3333, 0.6667, 0.0000), Pr at (0.0000, 0.0000, 0.0000) and Ag at (0.0000, 0.3318, 0.7500).

[19]
This record from Alexandria describes crystalline Na2CaBiCl at its relaxed geometry. The functional is PBE.

Its uncorrected energy is -3.026 eV per atom. Its formation energy from raw total energies is -0.9526 eV per atom.

It has space group P4/mmm (No. 123), with a = 5.106 Å, b = 5.106 Å, c = 5.560 Å, α = 90.00°, β = 90.00° and γ = 90.00°. Symmetry generates all atoms from Na at (0.000, 0.500, 0.000), Ca at (0.000, 0.000, 0.500), Bi at (0.500, 0.500, 0.500) and Cl at (0.000, 0.000, 0.000).

[20]
This record from Alexandria describes crystalline NpIn2Br5 at its relaxed geometry. The functional is PBE.

Its uncorrected energy is -4.350 eV per atom. Its formation energy from raw total energies is -1.0027 eV per atom.

It has space group Pnma (No. 62), with a = 13.533 Å, b = 9.125 Å, c = 8.616 Å, α = 90.00°, β = 90.00° and γ = 90.00°. Symmetry generates all atoms from Np at (0.003, 0.250, 0.069), In at (0.171, 0.003, 0.558), Br at (0.004, 0.250, 0.421), Br at (0.076, 0.543, 0.168), Br at (0.185, 0.250, 0.886) and Br at (0.206, 0.750, 0.841).

[21]
This record from Alexandria describes crystalline KPa2BeO8 at its relaxed geometry. The functional is PBE.

Its uncorrected energy is -7.645 eV per atom. Its formation energy from raw total energies is -2.3546 eV per atom.

It has space group P-3m1 (No. 164), with a = 4.7571 Å, b = 4.7571 Å, c = 8.8406 Å, α = 90.00°, β = 90.00° and γ = 120.00°. Symmetry generates all atoms from K at (0.0000, 0.0000, 0.0000), Pa at (0.3333, 0.6667, 0.3511), Be at (0.0000, 0.0000, 0.5000), O at (0.1668, 0.3336, 0.6261) and O at (0.3333, 0.6667, 0.1357).